Here is a relaxed structure of ScMnNiAu from Alexandria. Energies are from PBE-GGA.

a b c (Å): 4.516 4.516 4.516
angles (deg): 60.00 60.00 60.00
Fractional coordinates of all 4 atoms:
1 Sc 0.000 0.000 0.000
2 Mn 0.500 0.500 0.500
3 Ni 0.750 0.750 0.750
4 Au 0.250 0.250 0.250

Values from the calculation:
Calculated total energy: -6.445 eV per atom
ΔH_f (0 K): -305 meV/atom
Total magnetic moment: 4.367 μB per cell
Calculated volume: 65.1 Å³/cell
Crystal system: cubic